Run P
A plane-wave DFT calculation with PBE was carried out for a relaxed Ho3Al3GeIr2 crystal.

Output
- space group = No. 189
- crystal system = hexagonal
- total magnetic moment (μB/cell) = 0.01
- volume (Å³/cell) = 178.2

Structure (POSCAR):
```
Ho3Al3GeIr2
1.0
7.240 0.000 0.000
-3.620 6.270 0.000
0.000 0.000 3.926
Ho Al Ge Ir
3 3 1 2
Direct
0.000 0.404 0.000
0.404 0.000 0.000
0.596 0.596 0.000
0.000 0.729 0.500
0.271 0.271 0.500
0.729 0.000 0.500
0.000 0.000 0.000
0.333 0.667 0.500
0.667 0.333 0.500
```

Run Q
A plane-wave DFT calculation with PBE was carried out for a relaxed Ho3Al3GeIr2 crystal.

Output
- space group = No. 189
- crystal system = hexagonal
- total magnetic moment (μB/cell) = 0.01
- volume (Å³/cell) = 174.5

Structure (POSCAR):
```
Ho3Al3GeIr2
1.0
7.988 0.000 0.000
-3.994 6.918 0.000
0.000 0.000 3.158
Ho Al Ge Ir
3 3 1 2
Direct
0.000 0.707 0.000
0.293 0.293 0.000
0.707 0.000 0.000
0.000 0.384 0.500
0.384 0.000 0.500
0.616 0.616 0.500
0.000 0.000 0.500
0.333 0.667 0.000
0.667 0.333 0.000
```

Consider the structures shown above. The least stable of them is run Q.